# K3La3PuO8 (PBE-GGA, relaxed)
data_K3La3PuO8
_symmetry_space_group_name_H-M 'R -3 m'
_symmetry_Int_Tables_number 166
_symmetry_space_group_name_Hall '-R 3 2"'
_cell_length_a 7.3581
_cell_length_b 7.3581
_cell_length_c 18.9610
_cell_angle_alpha 90.00
_cell_angle_beta 90.00
_cell_angle_gamma 120.00
loop_
_atom_site_label
_atom_site_fract_x
_atom_site_fract_y
_atom_site_fract_z
_atom_site_occupancy
K1 0.0000 0.5000 0.0000 1
La1 0.0000 0.5000 0.5000 1
Pu1 0.0000 0.0000 0.5000 1
O1 0.0000 0.0000 0.2289 1
O2 0.0256 0.5128 0.2254 1
# Crystal system ... trigonal
# Formation energy (no corrections) ... -2743 meV/atom
# Uncorrected energy ... -0.55472 Ry/atom
# Theoretical density ... 5.08 g/cm3
# Total magnetic moment ... 12.0 μB per cell



# PrNdCl (PBE-GGA, relaxed)
data_PrNdCl
_symmetry_space_group_name_H-M 'P 3 m 1'
_symmetry_Int_Tables_number 156
_symmetry_space_group_name_Hall 'P 3 -2"'
_cell_length_a 3.8185
_cell_length_b 3.8185
_cell_length_c 7.3726
_cell_angle_alpha 90.00
_cell_angle_beta 90.00
_cell_angle_gamma 120.00
loop_
_atom_site_label
_atom_site_fract_x
_atom_site_fract_y
_atom_site_fract_z
_atom_site_occupancy
Pr1 0.0000 0.0000 0.0000 1
Nd1 0.3333 0.6667 0.6102 1
Cl1 0.6667 0.3333 0.3095 1
# Crystal system ... trigonal
# Formation energy (no corrections) ... -901 meV/atom
# Uncorrected energy ... -0.34534 Ry/atom
# Theoretical density ... 5.72 g/cm3
# Total magnetic moment ... 0.5 μB per cell
# Energy relative to the lowest polymorph listed for this composition ... 0 meV per atom